1.
A relaxed Pr2Al4InAu3 crystal. Source: Alexandria, functional PBE-GGA.

Calculated values
The value obtained for the energy relative to the elements is -0.6685 eV per atom. As for the density of states at the Fermi level: 4.08 states/eV per cell. As for the total magnetic moment: 0.00 μB/f.u.

Unit cell a=4.441 b=4.441 c=10.781 alpha=90.00 beta=90.00 gamma=90.00
Space group P-4m2 (No. 115)
Inequivalent atoms, fractional coordinates:
Pr1 0.000 0.500 0.244
Al1 0.000 0.000 0.000
Al2 0.000 0.500 0.646
Al3 0.500 0.500 0.000
In1 0.000 0.000 0.500
Au1 0.000 0.500 0.877
Au2 0.500 0.500 0.500

=====

2.
A relaxed PrAl2InAu4 crystal. Source: Alexandria, functional PBE-GGA.

Calculated values
The value obtained for the energy relative to the elements is -0.4965 eV per atom. As for the density of states at the Fermi level: 8.11 states/eV per cell. As for the total magnetic moment: 0.00 μB/f.u.

Unit cell a=4.4168 b=4.4168 c=29.7397 alpha=90.00 beta=90.00 gamma=120.00
Space group R-3m (No. 166, hexagonal axes)
Inequivalent atoms, fractional coordinates:
Pr1 0.0000 0.0000 0.0000
Al1 0.0000 0.0000 0.2480
In1 0.0000 0.0000 0.5000
Au1 0.0000 0.0000 0.1176
Au2 0.0000 0.0000 0.3953

=====

3.
A relaxed PuAlInAu crystal. Source: Alexandria, functional PBE-GGA.

Calculated values
The value obtained for the energy relative to the elements is -0.2182 eV per atom. As for the density of states at the Fermi level: 45.56 states/eV per cell. As for the total magnetic moment: 5.45 μB/f.u.

Unit cell a=7.051 b=7.051 c=7.051 alpha=90.00 beta=90.00 gamma=90.00
Space group F-43m (No. 216)
Inequivalent atoms, fractional coordinates:
Pu1 0.000 0.000 0.000
Al1 0.000 0.000 0.500
In1 0.250 0.250 0.750
Au1 0.250 0.250 0.250

=====

4.
A relaxed Pu2Al3InAu4 crystal. Source: Alexandria, functional PBE-GGA.

Calculated values
The value obtained for the energy relative to the elements is -0.4379 eV per atom. As for the density of states at the Fermi level: 30.18 states/eV per cell. As for the total magnetic moment: 10.98 μB/f.u.

Unit cell a=4.359 b=4.359 c=11.132 alpha=90.00 beta=90.00 gamma=90.00
Space group P-4m2 (No. 115)
Inequivalent atoms, fractional coordinates:
Pu1 0.000 0.500 0.241
Al1 0.000 0.500 0.874
Al2 0.500 0.500 0.500
In1 0.000 0.000 0.500
Au1 0.000 0.000 0.000
Au2 0.000 0.500 0.651
Au3 0.500 0.500 0.000

=====

5.
A relaxed Pu2AlInAu6 crystal. Source: Alexandria, functional PBE-GGA.

Calculated values
The value obtained for the energy relative to the elements is -0.2995 eV per atom. As for the density of states at the Fermi level: 25.82 states/eV per cell. As for the total magnetic moment: 11.51 μB/f.u.

Unit cell a=5.305 b=6.235 c=7.149 alpha=68.08 beta=76.49 gamma=83.25
Space group P-1 (No. 2)
Inequivalent atoms, fractional coordinates:
Pu1 0.101 0.449 0.221
Al1 0.000 0.000 0.000
In1 0.500 0.500 0.500
Au1 0.142 0.889 0.356
Au2 0.356 0.856 0.724
Au3 0.403 0.243 0.924

=====

6.
A relaxed Rb2AlInAu6 crystal. Source: Alexandria, functional PBE-GGA.

Calculated values
The value obtained for the energy relative to the elements is -0.2887 eV per atom. As for the density of states at the Fermi level: 4.35 states/eV per cell. As for the total magnetic moment: 0.00 μB/f.u.

Unit cell a=7.060 b=7.061 c=7.407 alpha=118.43 beta=90.10 gamma=119.87
Space group P-1 (No. 2)
Inequivalent atoms, fractional coordinates:
Rb1 0.207 0.415 0.122
Al1 0.000 0.000 0.500
In1 0.500 0.000 0.000
Au1 0.241 0.895 0.637
Au2 0.244 0.484 0.638
Au3 0.347 0.106 0.363

=====

7.
A relaxed AlInRe2Au crystal. Source: Alexandria, functional PBE-GGA.

Calculated values
The value obtained for the energy relative to the elements is 2.4141 eV per atom. As for the density of states at the Fermi level: 6.92 states/eV per cell. As for the total magnetic moment: 3.61 μB/f.u.

Unit cell a=4.966 b=4.966 c=4.740 alpha=90.00 beta=90.00 gamma=90.00
Space group P4/mmm (No. 123)
Inequivalent atoms, fractional coordinates:
Al1 0.000 0.000 0.000
In1 0.000 0.000 0.500
Re1 0.000 0.500 0.500
Au1 0.500 0.500 0.000

=====

8.
A relaxed ScAlInAu crystal. Source: Alexandria, functional PBE-GGA.

Calculated values
The value obtained for the energy relative to the elements is -0.3605 eV per atom. As for the density of states at the Fermi level: 5.61 states/eV per cell. As for the total magnetic moment: 0.00 μB/f.u.

Unit cell a=6.799 b=6.799 c=6.799 alpha=90.00 beta=90.00 gamma=90.00
Space group F-43m (No. 216)
Inequivalent atoms, fractional coordinates:
Sc1 0.000 0.000 0.000
Al1 0.000 0.000 0.500
In1 0.250 0.250 0.250
Au1 0.250 0.250 0.750

=====

9.
A relaxed Sm2Al3InAu4 crystal. Source: Alexandria, functional PBE-GGA.

Calculated values
The value obtained for the energy relative to the elements is -0.6695 eV per atom. As for the density of states at the Fermi level: 4.18 states/eV per cell. As for the total magnetic moment: 0.00 μB/f.u.

Unit cell a=4.433 b=4.433 c=10.757 alpha=90.00 beta=90.00 gamma=90.00
Space group P-4m2 (No. 115)
Inequivalent atoms, fractional coordinates:
Sm1 0.000 0.500 0.241
Al1 0.000 0.500 0.875
Al2 0.500 0.500 0.500
In1 0.000 0.000 0.500
Au1 0.000 0.000 0.000
Au2 0.000 0.500 0.646
Au3 0.500 0.500 0.000

=====

10.
A relaxed Sm2AlInAu6 crystal. Source: Alexandria, functional PBE-GGA.

Calculated values
The value obtained for the energy relative to the elements is -0.4893 eV per atom. As for the density of states at the Fermi level: 4.79 states/eV per cell. As for the total magnetic moment: 0.00 μB/f.u.

Unit cell a=5.534 b=6.850 c=6.874 alpha=77.99 beta=66.74 gamma=69.35
Space group P-1 (No. 2)
Inequivalent atoms, fractional coordinates:
Sm1 0.005 0.248 0.250
Al1 0.500 0.500 0.000
In1 0.500 0.000 0.500
Au1 0.000 0.252 0.805
Au2 0.360 0.426 0.402
Au3 0.481 0.824 0.166

=====

11.
A relaxed Sr2AlIn3Au4 crystal. Source: Alexandria, functional PBE-GGA.

Calculated values
The value obtained for the energy relative to the elements is -0.5247 eV per atom. As for the density of states at the Fermi level: 4.63 states/eV per cell. As for the total magnetic moment: 0.00 μB/f.u.

Unit cell a=4.664 b=4.664 c=11.391 alpha=90.00 beta=90.00 gamma=90.00
Space group P-4m2 (No. 115)
Inequivalent atoms, fractional coordinates:
Sr1 0.000 0.500 0.248
Al1 0.500 0.500 0.000
In1 0.000 0.000 0.000
In2 0.000 0.500 0.633
Au1 0.000 0.000 0.500
Au2 0.000 0.500 0.874
Au3 0.500 0.500 0.500

=====

12.
A relaxed Sr2Al3InAu4 crystal. Source: Alexandria, functional PBE-GGA.

Calculated values
The value obtained for the energy relative to the elements is -0.6124 eV per atom. As for the density of states at the Fermi level: 5.46 states/eV per cell. As for the total magnetic moment: 0.00 μB/f.u.

Unit cell a=4.579 b=4.579 c=10.820 alpha=90.00 beta=90.00 gamma=90.00
Space group P-4m2 (No. 115)
Inequivalent atoms, fractional coordinates:
Sr1 0.000 0.500 0.244
Al1 0.000 0.500 0.883
Al2 0.500 0.500 0.500
In1 0.000 0.000 0.500
Au1 0.000 0.000 0.000
Au2 0.000 0.500 0.647
Au3 0.500 0.500 0.000

=====

13.
A relaxed Sr2AlInAu6 crystal. Source: Alexandria, functional PBE-GGA.

Calculated values
The value obtained for the energy relative to the elements is -0.5041 eV per atom. As for the density of states at the Fermi level: 4.11 states/eV per cell. As for the total magnetic moment: 0.00 μB/f.u.

Unit cell a=5.800 b=7.030 c=7.303 alpha=83.33 beta=66.61 gamma=65.65
Space group P-1 (No. 2)
Inequivalent atoms, fractional coordinates:
Sr1 0.039 0.216 0.206
Al1 0.500 0.000 0.500
In1 0.500 0.500 0.000
Au1 0.014 0.238 0.733
Au2 0.361 0.386 0.394
Au3 0.486 0.763 0.266

=====

14.
A relaxed Tb2Al4InAu3 crystal. Source: Alexandria, functional PBE-GGA.

Calculated values
The value obtained for the energy relative to the elements is -0.6227 eV per atom. As for the density of states at the Fermi level: 3.43 states/eV per cell. As for the total magnetic moment: 0.00 μB/f.u.

Unit cell a=4.300 b=4.300 c=11.052 alpha=90.00 beta=90.00 gamma=90.00
Space group P-4m2 (No. 115)
Inequivalent atoms, fractional coordinates:
Tb1 0.000 0.500 0.245
Al1 0.000 0.000 0.000
Al2 0.000 0.500 0.648
Al3 0.500 0.500 0.000
In1 0.000 0.000 0.500
Au1 0.000 0.500 0.870
Au2 0.500 0.500 0.500

=====

15.
A relaxed Tb2Al3InAu4 crystal. Source: Alexandria, functional PBE-GGA.

Calculated values
The value obtained for the energy relative to the elements is -0.6426 eV per atom. As for the density of states at the Fermi level: 4.09 states/eV per cell. As for the total magnetic moment: 0.00 μB/f.u.

Unit cell a=4.376 b=4.376 c=10.842 alpha=90.00 beta=90.00 gamma=90.00
Space group P-4m2 (No. 115)
Inequivalent atoms, fractional coordinates:
Tb1 0.000 0.500 0.240
Al1 0.000 0.500 0.874
Al2 0.500 0.500 0.500
In1 0.000 0.000 0.500
Au1 0.000 0.000 0.000
Au2 0.000 0.500 0.648
Au3 0.500 0.500 0.000

=====

16.
A relaxed AlInTcAu2 crystal. Source: Alexandria, functional PBE-GGA.

Calculated values
The value obtained for the energy relative to the elements is 0.9278 eV per atom. As for the density of states at the Fermi level: 3.20 states/eV per cell. As for the total magnetic moment: 3.67 μB/f.u.

Unit cell a=4.754 b=4.754 c=5.189 alpha=90.00 beta=90.00 gamma=90.00
Space group P4/mmm (No. 123)
Inequivalent atoms, fractional coordinates:
Al1 0.000 0.000 0.000
In1 0.000 0.000 0.500
Tc1 0.500 0.500 0.500
Au1 0.000 0.500 0.000

=====

17.
A relaxed AlInTe4Au2 crystal. Source: Alexandria, functional PBE-GGA.

Calculated values
As for the density of states at the Fermi level: 1.49 states/eV per cell. Its formation energy (no corrections) is -265 meV/atom. As for the total magnetic moment: 0.00 μB/f.u.

Unit cell a=6.411 b=6.411 c=12.688 alpha=90.00 beta=90.00 gamma=90.00
Space group I-4 (No. 82)
Inequivalent atoms, fractional coordinates:
Al1 0.000 0.000 0.000
In1 0.000 0.500 0.750
Te1 0.237 0.750 0.119
Au1 0.000 0.000 0.500
Au2 0.000 0.500 0.250

=====

18.
A relaxed AlIn2Te6Au crystal. Source: Alexandria, functional PBE-GGA.

Calculated values
Its formation energy (no corrections) is -148 meV/atom. As for the total magnetic moment: 0.00 μB/f.u.

Unit cell a=14.090 b=16.673 c=7.527 alpha=90.00 beta=116.94 gamma=90.00
Space group C2/c (No. 15)
Inequivalent atoms, fractional coordinates:
Al1 0.000 0.175 0.250
In1 0.170 0.390 0.206
Te1 0.089 0.240 0.052
Te2 0.107 0.450 0.790
Te3 0.113 0.067 0.546
Au1 0.000 0.088 0.750

=====

19.
A relaxed Th2Al3InAu4 crystal. Source: Alexandria, functional PBE-GGA.

Calculated values
The value obtained for the energy relative to the elements is -0.6276 eV per atom. As for the density of states at the Fermi level: 3.94 states/eV per cell. As for the total magnetic moment: 0.00 μB/f.u.

Unit cell a=4.390 b=4.390 c=11.029 alpha=90.00 beta=90.00 gamma=90.00
Space group P-4m2 (No. 115)
Inequivalent atoms, fractional coordinates:
Th1 0.000 0.500 0.236
Al1 0.000 0.500 0.874
Al2 0.500 0.500 0.500
In1 0.000 0.000 0.500
Au1 0.000 0.000 0.000
Au2 0.000 0.500 0.649
Au3 0.500 0.500 0.000

=====

20.
A relaxed ThAl2InAu5 crystal. Source: Alexandria, functional PBE-GGA.

Calculated values
The value obtained for the energy relative to the elements is -0.4447 eV per atom. As for the density of states at the Fermi level: 2.70 states/eV per cell. As for the total magnetic moment: 0.00 μB/f.u.

Unit cell a=4.517 b=4.517 c=8.838 alpha=90.00 beta=90.00 gamma=90.00
Space group P4/mmm (No. 123)
Inequivalent atoms, fractional coordinates:
Th1 0.000 0.000 0.000
Al1 0.500 0.500 0.143
In1 0.000 0.000 0.500
Au1 0.000 0.500 0.276
Au2 0.500 0.500 0.500

=====

21.
A relaxed Th2Al4InAu3 crystal. Source: Alexandria, functional PBE-GGA.

Calculated values
The value obtained for the energy relative to the elements is -0.6104 eV per atom. As for the density of states at the Fermi level: 2.06 states/eV per cell. As for the total magnetic moment: 0.00 μB/f.u.

Unit cell a=4.388 b=4.388 c=10.872 alpha=90.00 beta=90.00 gamma=90.00
Space group P-4m2 (No. 115)
Inequivalent atoms, fractional coordinates:
Th1 0.000 0.500 0.245
Al1 0.000 0.000 0.000
Al2 0.000 0.500 0.645
Al3 0.500 0.500 0.000
In1 0.000 0.000 0.500
Au1 0.000 0.500 0.873
Au2 0.500 0.500 0.500

=====

22.
A relaxed TmAlInAu crystal. Source: Alexandria, functional PBE-GGA.

Calculated values
The value obtained for the energy relative to the elements is -0.4008 eV per atom. As for the density of states at the Fermi level: 1.12 states/eV per cell. As for the total magnetic moment: 0.00 μB/f.u.

Unit cell a=6.967 b=6.967 c=6.967 alpha=90.00 beta=90.00 gamma=90.00
Space group F-43m (No. 216)
Inequivalent atoms, fractional coordinates:
Tm1 0.000 0.000 0.000
Al1 0.000 0.000 0.500
In1 0.250 0.250 0.250
Au1 0.250 0.250 0.750

=====

23.
A relaxed YAl2InAu crystal. Source: Alexandria, functional PBE-GGA.

Calculated values
The value obtained for the energy relative to the elements is 1.1321 eV per atom. As for the density of states at the Fermi level: 5.80 states/eV per cell. As for the total magnetic moment: 0.00 μB/f.u.

Unit cell a=5.560 b=5.560 c=5.817 alpha=90.00 beta=90.00 gamma=90.00
Space group P4/mmm (No. 123)
Inequivalent atoms, fractional coordinates:
Y1 0.000 0.000 0.000
Al1 0.000 0.500 0.000
In1 0.000 0.000 0.500
Au1 0.500 0.500 0.500

=====

24.
A relaxed Y2Al3InAu4 crystal. Source: Alexandria, functional PBE-GGA.

Calculated values
The value obtained for the energy relative to the elements is -0.6452 eV per atom. As for the density of states at the Fermi level: 4.13 states/eV per cell. As for the total magnetic moment: 0.00 μB/f.u.

Unit cell a=4.353 b=4.353 c=10.929 alpha=90.00 beta=90.00 gamma=90.00
Space group P-4m2 (No. 115)
Inequivalent atoms, fractional coordinates:
Y1 0.000 0.500 0.241
Al1 0.000 0.500 0.874
Al2 0.500 0.500 0.500
In1 0.000 0.000 0.500
Au1 0.000 0.000 0.000
Au2 0.000 0.500 0.650
Au3 0.500 0.500 0.000